No. 1
The following is a PBE calculation of a relaxed TaP crystal, from OQMD.

```
TaP
1.0
5.283 0.000 0.000
0.000 4.663 0.000
0.000 0.000 5.151
P Ta
4 4
Direct
0.750 0.500 0.047 P
0.250 0.000 0.304 P
0.750 0.000 0.696 P
0.250 0.500 0.953 P
0.750 0.000 0.196 Ta
0.000 0.500 0.500 Ta
0.500 0.500 0.500 Ta
0.250 0.000 0.804 Ta
```

- density (g/cm3) = 11.09
- total energy (eV per atom) = -8.922

No. 2
The following is a PBE calculation of a relaxed SmScO3 crystal, from OQMD.

```
SmScO3
1.0
-0.352 3.234 1.803
-3.687 -0.467 0.119
0.494 -2.665 4.877
O Sc Sm
3 1 1
Direct
0.500 0.500 0.456 O
0.500 0.000 0.852 O
0.000 0.500 0.852 O
0.000 0.000 0.673 Sc
0.500 0.500 0.067 Sm
```

- density (g/cm3) = 5.24
- total energy (eV per atom) = -8.061